[1]
Entry from the Alexandria database: crystalline LiPm2Cd6 at its relaxed geometry (PBE-GGA).

abc: 5.3775 6.9015 6.9015
angles: 57.55 84.20 84.20
Atoms (fractional coordinates):
Cd1 0.3067 0.8631 0.3360
Cd2 0.2593 0.8057 0.8057
Li1 0.0000 0.0000 0.0000
Cd3 0.3067 0.3360 0.8631
Cd4 0.6933 0.1369 0.6640
Cd5 0.6933 0.6640 0.1369
Pm1 0.7961 0.6478 0.6478
Cd6 0.7407 0.1943 0.1943
Pm2 0.2039 0.3522 0.3522

Spin magnetization, μB per cell: 0.0
Relative energy among the computed polymorphs, meV per atom: 0


[2]
Entry from the Alexandria database: crystalline LiPm2Cd7 at its relaxed geometry (PBE-GGA).

abc: 7.1050 7.1050 7.1050
angles: 60.00 60.00 60.00
Atoms (fractional coordinates):
Cd1 0.2345 0.2345 0.7655
Li1 0.0000 0.0000 0.0000
Pm1 0.2500 0.2500 0.2500
Pm2 0.7500 0.7500 0.7500
Cd2 0.7655 0.7655 0.2345
Cd3 0.7655 0.2345 0.7655
Cd4 0.2345 0.7655 0.7655
Cd5 0.7655 0.2345 0.2345
Cd6 0.5000 0.5000 0.5000
Cd7 0.2345 0.7655 0.2345

Spin magnetization, μB per cell: 0.0
Calculated total energy, eV for the cell shown: -17.7


[3]
Entry from the Alexandria database: crystalline Li4PmCd2 at its relaxed geometry (PBE-GGA).

abc: 3.7693 3.7693 10.5477
angles: 100.29 100.29 90.00
Last column: magnetic moment on the atom in μB.
Atoms (fractional coordinates):
Li1 0.8487 0.8487 0.6974  0.00
Li2 0.7500 0.2500 0.5000  0.00
Li3 0.2500 0.7500 0.5000  0.00
Cd1 0.6077 0.6077 0.2155  0.00
Pm1 0.0000 0.0000 0.0000  0.11
Li4 0.1513 0.1513 0.3026  0.00
Cd2 0.3923 0.3923 0.7845  0.00

Spin magnetization, μB per cell: 0.2
Relative energy among the computed polymorphs, meV per atom: 60


[4]
Entry from the Alexandria database: crystalline LiPmCdPt at its relaxed geometry (PBE-GGA).

abc: 4.8759 4.8759 4.8759
angles: 60.00 60.00 60.00
Atoms (fractional coordinates):
Pt1 0.0000 0.0000 0.0000
Pm1 0.2500 0.2500 0.2500
Cd1 0.7500 0.7500 0.7500
Li1 0.5000 0.5000 0.5000

Spin magnetization, μB per cell: 0.0
Calculated total energy, eV for the cell shown: -16.0


[5]
Entry from the Alexandria database: crystalline LiPmCdRh at its relaxed geometry (PBE-GGA).

abc: 4.8370 4.8370 4.8370
angles: 60.00 60.00 60.00
Atoms (fractional coordinates):
Cd1 0.0000 0.0000 0.0000
Pm1 0.5000 0.5000 0.5000
Rh1 0.2500 0.2500 0.2500
Li1 0.7500 0.7500 0.7500

Spin magnetization, μB per cell: 0.0
Calculated total energy, eV for the cell shown: -16.5


[6]
Entry from the Alexandria database: crystalline LiPmCdRu at its relaxed geometry (PBE-GGA).

abc: 4.8251 4.8251 4.8251
angles: 60.00 60.00 60.00
Atoms (fractional coordinates):
Pm1 0.2500 0.2500 0.2500
Li1 0.5000 0.5000 0.5000
Cd1 0.7500 0.7500 0.7500
Ru1 0.0000 0.0000 0.0000

Spin magnetization, μB per cell: 0.0
Calculated total energy, eV for the cell shown: -17.1


[7]
Entry from the Alexandria database: crystalline LiPm2CdS4 at its relaxed geometry (PBE-GGA).

abc: 3.9728 6.8993 6.8372
angles: 71.31 90.00 90.00
Atoms (fractional coordinates):
Cd1 0.5000 0.5000 0.0000
Pm1 0.0000 0.0000 0.0000
S1 0.0000 0.7412 0.7496
Li1 0.0000 0.5000 0.5000
Pm2 0.5000 0.0000 0.5000
S2 0.5000 0.2577 0.7504
S3 0.0000 0.2588 0.2504
S4 0.5000 0.7423 0.2496

Energy relative to the elements, uncorrected, eV per atom: -1.481
Spin magnetization, μB per cell: 0.0


[8]
Entry from the Alexandria database: crystalline LiPmScCd at its relaxed geometry (PBE-GGA).

abc: 5.1858 5.1858 5.1858
angles: 60.00 60.00 60.00
Last column: magnetic moment on the atom in μB.
Atoms (fractional coordinates):
Li1 0.2500 0.2500 0.2500  0.01
Cd1 0.7500 0.7500 0.7500  0.01
Sc1 0.0000 0.0000 0.0000  0.15
Pm1 0.5000 0.5000 0.5000  0.07

Spin magnetization, μB per cell: 0.4
Calculated total energy, eV for the cell shown: -14.3


[9]
Entry from the Alexandria database: crystalline Li2PmCd2Sn2 at its relaxed geometry (PBE-GGA).

abc: 4.7069 4.7153 8.7711
angles: 105.34 90.00 119.94
Atoms (fractional coordinates):
Sn1 0.7356 0.4713 0.2096
Pm1 0.0000 0.0000 0.0000
Sn2 0.2644 0.5287 0.7904
Cd1 0.5600 0.1200 0.6767
Li1 0.1423 0.2845 0.4292
Li2 0.8577 0.7155 0.5708
Cd2 0.4400 0.8800 0.3233

Spin magnetization, μB per cell: 0.0
Calculated total energy, eV for the cell shown: -21.5


[10]
Entry from the Alexandria database: crystalline LiPmTlCd at its relaxed geometry (PBE-GGA).

abc: 5.1860 5.1860 5.1860
angles: 60.00 60.00 60.00
Atoms (fractional coordinates):
Li1 0.2500 0.2500 0.2500
Pm1 0.7500 0.7500 0.7500
Cd1 0.0000 0.0000 0.0000
Tl1 0.5000 0.5000 0.5000

Spin magnetization, μB per cell: 0.0
Calculated total energy, eV for the cell shown: -11.3


[11]
Entry from the Alexandria database: crystalline Li2PmTl2Cd2 at its relaxed geometry (PBE-GGA).

abc: 4.8098 4.9832 8.0737
angles: 103.80 90.00 118.86
Atoms (fractional coordinates):
Pm1 0.0000 0.0000 0.0000
Li1 0.1352 0.2704 0.4327
Cd1 0.5769 0.1538 0.6916
Tl1 0.7208 0.4416 0.1945
Cd2 0.4231 0.8462 0.3084
Tl2 0.2792 0.5584 0.8055
Li2 0.8648 0.7296 0.5673

Spin magnetization, μB per cell: 0.0
Calculated total energy, eV for the cell shown: -16.9


[12]
Entry from the Alexandria database: crystalline LiPm2YCd4 at its relaxed geometry (PBE-GGA).

abc: 5.2840 5.2840 9.1222
angles: 73.16 73.16 60.00
Atoms (fractional coordinates):
Cd1 0.1261 0.1261 0.6217
Li1 0.5000 0.5000 0.5000
Y1 0.0000 0.0000 0.0000
Cd2 0.6222 0.6222 0.1333
Pm1 0.2488 0.2488 0.2537
Cd3 0.8739 0.8739 0.3783
Pm2 0.7512 0.7512 0.7463
Cd4 0.3778 0.3778 0.8667

Spin magnetization, μB per cell: 0.0
Calculated total energy, eV for the cell shown: -23.9


[13]
Entry from the Alexandria database: crystalline LiPmZnCd at its relaxed geometry (PBE-GGA).

abc: 4.8845 4.8845 4.8845
angles: 60.00 60.00 60.00
Atoms (fractional coordinates):
Zn1 0.0000 0.0000 0.0000
Pm1 0.2500 0.2500 0.2500
Li1 0.5000 0.5000 0.5000
Cd1 0.7500 0.7500 0.7500

Spin magnetization, μB per cell: 0.0
Calculated total energy, eV for the cell shown: -10.0


[14]
Entry from the Alexandria database: crystalline Li2PmZnCd4 at its relaxed geometry (PBE-GGA).

abc: 4.6761 4.6761 9.4827
angles: 75.73 75.73 60.00
Atoms (fractional coordinates):
Cd1 0.3964 0.3964 0.8108
Li1 0.2376 0.2376 0.2871
Cd2 0.8729 0.8729 0.3812
Cd3 0.6036 0.6036 0.1892
Pm1 0.0000 0.0000 0.0000
Zn1 0.5000 0.5000 0.5000
Li2 0.7624 0.7624 0.7129
Cd4 0.1271 0.1271 0.6188

Spin magnetization, μB per cell: 0.0
Calculated total energy, eV for the cell shown: -15.1


[15]
Entry from the Alexandria database: crystalline Li2PrCd at its relaxed geometry (PBE-GGA).

abc: 5.0264 5.0264 5.0264
angles: 60.00 60.00 60.00
Atoms (fractional coordinates):
Cd1 0.5000 0.5000 0.5000
Li1 0.2500 0.2500 0.2500
Li2 0.7500 0.7500 0.7500
Pr1 0.0000 0.0000 0.0000

Spin magnetization, μB per cell: 0.0
Relative energy among the computed polymorphs, meV per atom: 22


[16]
Entry from the Alexandria database: crystalline LiPrCd11 at its relaxed geometry (PBE-GGA).

abc: 5.8853 7.6247 7.6073
angles: 81.63 67.24 67.90
Atoms (fractional coordinates):
Cd1 0.0145 0.6450 0.3446
Cd2 0.4925 0.7809 0.2104
Cd3 0.3591 0.6450 0.6554
Cd4 0.5075 0.2191 0.7896
Cd5 0.6409 0.3550 0.3446
Pr1 0.0000 0.0000 0.0000
Cd6 0.9855 0.3550 0.6554
Cd7 0.7029 0.7809 0.7896
Cd8 0.2971 0.2191 0.2104
Cd9 0.0000 0.0000 0.5000
Cd10 0.0000 0.5000 0.0000
Cd11 0.5000 0.0000 0.5000
Li1 0.5000 0.5000 0.0000

Spin magnetization, μB per cell: 0.0
Calculated total energy, eV for the cell shown: -19.0


[17]
Entry from the Alexandria database: crystalline LiPrCd4 at its relaxed geometry (PBE-GGA).

abc: 4.2798 7.6573 8.4423
angles: 90.00 90.00 90.00
Atoms (fractional coordinates):
Cd1 0.5000 0.3132 0.9418
Cd2 0.5000 0.9413 0.7500
Li1 0.0000 0.7957 0.2500
Cd3 0.0000 0.0000 0.5000
Cd4 0.5000 0.0587 0.2500
Pr1 0.0000 0.6194 0.7500
Pr2 0.0000 0.3806 0.2500
Cd5 0.0000 0.0000 0.0000
Cd6 0.5000 0.6868 0.0582
Cd7 0.5000 0.6868 0.4418
Li2 0.0000 0.2043 0.7500
Cd8 0.5000 0.3132 0.5582

Spin magnetization, μB per cell: 0.0
Relative energy among the computed polymorphs, meV per atom: 0


[18]
Entry from the Alexandria database: crystalline Li4PrCd2 at its relaxed geometry (PBE-GGA).

abc: 3.9981 3.9981 9.7749
angles: 90.00 90.00 90.00
Last column: magnetic moment on the atom in μB.
Atoms (fractional coordinates):
Li1 0.5000 0.0000 0.2788  0.01
Li2 0.5000 0.5000 0.5000  0.00
Li3 0.0000 0.0000 0.5000  0.00
Pr1 0.5000 0.5000 0.0000  0.25
Li4 0.0000 0.5000 0.7212  0.01
Cd1 0.5000 0.0000 0.7240  0.01
Cd2 0.0000 0.5000 0.2760  0.01

Spin magnetization, μB per cell: 0.6
Calculated total energy, eV for the cell shown: -14.8


[19]
Entry from the Alexandria database: crystalline LiPr2Cd5 at its relaxed geometry (PBE-GGA).

abc: 4.9754 4.9754 8.7076
angles: 106.60 106.60 90.00
Atoms (fractional coordinates):
Cd1 0.5000 0.5000 0.0000
Cd2 0.3929 0.8929 0.7857
Pr1 0.7435 0.7435 0.4871
Pr2 0.2565 0.2565 0.5129
Cd3 0.6071 0.1071 0.2143
Cd4 0.1071 0.6071 0.2143
Li1 0.0000 0.0000 0.0000
Cd5 0.8929 0.3929 0.7857

Spin magnetization, μB per cell: 0.0
Relative energy among the computed polymorphs, meV per atom: 0


[20]
Entry from the Alexandria database: crystalline LiPrCd4 at its relaxed geometry (PBE-GGA).

abc: 4.0715 4.0715 10.1510
angles: 101.57 101.57 90.00
Atoms (fractional coordinates):
Cd1 0.6790 0.1790 0.3580
Pr1 0.0000 0.0000 0.0000
Cd2 0.4193 0.4193 0.8387
Cd3 0.5807 0.5807 0.1613
Li1 0.2500 0.7500 0.5000
Cd4 0.8210 0.3210 0.6420

Spin magnetization, μB per cell: 0.0
Relative energy among the computed polymorphs, meV per atom: 146


[21]
Entry from the Alexandria database: crystalline Li6PrCd12 at its relaxed geometry (PBE-GGA).

abc: 7.7503 7.7503 7.7503
angles: 105.47 105.47 105.47
Atoms (fractional coordinates):
Cd1 0.8820 0.5000 0.1180
Li1 0.7330 0.7330 0.2904
Li2 0.7330 0.2904 0.7330
Cd2 0.4084 0.4084 0.1574
Li3 0.2670 0.2670 0.7096
Cd3 0.1180 0.5000 0.8820
Cd4 0.8426 0.5916 0.5916
Cd5 0.1574 0.4084 0.4084
Li4 0.7096 0.2670 0.2670
Cd6 0.5916 0.8426 0.5916
Cd7 0.4084 0.1574 0.4084
Li5 0.2670 0.7096 0.2670
Cd8 0.1180 0.8820 0.5000
Cd9 0.5916 0.5916 0.8426
Cd10 0.5000 0.1180 0.8820
Cd11 0.5000 0.8820 0.1180
Li6 0.2904 0.7330 0.7330
Pr1 0.0000 0.0000 0.0000
Cd12 0.8820 0.1180 0.5000

Spin magnetization, μB per cell: 0.0
Calculated total energy, eV for the cell shown: -29.5


[22]
Entry from the Alexandria database: crystalline Li2PrCd6 at its relaxed geometry (PBE-GGA).

abc: 3.1569 8.7784 8.7784
angles: 120.00 90.00 90.00
Last column: magnetic moment on the atom in μB.
Atoms (fractional coordinates):
Cd1 0.5000 0.3404 0.0000  0.00
Cd2 0.5000 0.0000 0.6596  0.00
Pr1 0.0000 0.0000 0.0000  0.06
Li1 0.0000 0.3333 0.6667  0.00
Li2 0.0000 0.6667 0.3333  0.00
Cd3 0.5000 0.3404 0.3404  0.00
Cd4 0.5000 0.6596 0.6596  0.00
Cd5 0.5000 0.0000 0.3404  0.00
Cd6 0.5000 0.6596 0.0000  0.00

Spin magnetization, μB per cell: 0.1
Relative energy among the computed polymorphs, meV per atom: 0


[23]
Entry from the Alexandria database: crystalline Li5Pr2Cd5 at its relaxed geometry (PBE-GGA).

abc: 4.8504 5.5361 10.0777
angles: 90.00 90.00 90.00
Atoms (fractional coordinates):
Pr1 0.0000 0.0000 0.5000
Li1 0.5000 0.2517 0.2469
Cd1 0.5000 0.0000 0.0000
Li2 0.5000 0.7483 0.7531
Li3 0.5000 0.2517 0.7531
Cd2 0.0000 0.5000 0.3336
Cd3 0.0000 0.5000 0.6664
Pr2 0.0000 0.5000 0.0000
Cd4 0.0000 0.0000 0.1778
Li4 0.5000 0.7483 0.2469
Li5 0.5000 0.5000 0.5000
Cd5 0.0000 0.0000 0.8222

Spin magnetization, μB per cell: 0.0
Calculated total energy, eV for the cell shown: -26.4


[24]
Entry from the Alexandria database: crystalline Li4PrCd5 at its relaxed geometry (PBE-GGA).

abc: 3.4558 3.4558 17.2196
angles: 90.00 90.00 90.00
Atoms (fractional coordinates):
Cd1 0.5000 0.5000 0.1350
Li1 0.0000 0.0000 0.4095
Li2 0.0000 0.0000 0.7753
Li3 0.0000 0.0000 0.5905
Cd2 0.5000 0.5000 0.6823
Cd3 0.5000 0.5000 0.3177
Cd4 0.5000 0.5000 0.8650
Cd5 0.5000 0.5000 0.5000
Pr1 0.0000 0.0000 0.0000
Li4 0.0000 0.0000 0.2247

Spin magnetization, μB per cell: 0.1
Calculated total energy, eV for the cell shown: -19.6


[25]
Entry from the Alexandria database: crystalline LiPr4Cd5 at its relaxed geometry (PBE-GGA).

abc: 3.7979 3.7979 19.1339
angles: 90.00 90.00 90.00
Last column: magnetic moment on the atom in μB.
Atoms (fractional coordinates):
Pr1 0.0000 0.0000 0.1874  0.10
Pr2 0.0000 0.0000 0.8126  0.10
Li1 0.0000 0.0000 0.0000  0.00
Cd1 0.5000 0.5000 0.5000  -0.01
Cd2 0.5000 0.5000 0.9193  0.00
Cd3 0.5000 0.5000 0.0807  0.00
Pr3 0.0000 0.0000 0.3949  -0.09
Cd4 0.5000 0.5000 0.7084  0.00
Pr4 0.0000 0.0000 0.6051  -0.09
Cd5 0.5000 0.5000 0.2916  0.00

Spin magnetization, μB per cell: 0.1
Calculated total energy, eV for the cell shown: -28.5